Record 1
Here is an optimized crystal structure of CsPb3Se from Alexandria. Energies are from PBE.

The structure in CIF format:
```
data_CsPb3Se
_space_group_name_H-M_alt 'P 1'
_space_group_IT_number 1
_space_group_name_Hall 'P 1'
_cell_length_a 6.331
_cell_length_b 6.331
_cell_length_c 6.331
_cell_angle_alpha 90.00
_cell_angle_beta 90.00
_cell_angle_gamma 90.00
loop_
_atom_site_label
_atom_site_type_symbol
_atom_site_fract_x
_atom_site_fract_y
_atom_site_fract_z
Cs1 Cs 0.000 0.000 0.000
Pb1 Pb 0.000 0.000 0.500
Pb2 Pb 0.000 0.500 0.000
Pb3 Pb 0.500 0.000 0.000
Se1 Se 0.500 0.500 0.500
```

Record 2
Here is an optimized crystal structure of Cs2Si2PbSe6 from Alexandria. Energies are from PBE.

The structure in CIF format:
```
data_Cs2Si2PbSe6
_space_group_name_H-M_alt 'P 1'
_space_group_IT_number 1
_space_group_name_Hall 'P 1'
_cell_length_a 9.553
_cell_length_b 9.553
_cell_length_c 9.553
_cell_angle_alpha 46.78
_cell_angle_beta 46.78
_cell_angle_gamma 46.78
loop_
_atom_site_label
_atom_site_type_symbol
_atom_site_fract_x
_atom_site_fract_y
_atom_site_fract_z
Cs1 Cs 0.221 0.221 0.221
Cs2 Cs 0.779 0.779 0.779
Si1 Si 0.413 0.413 0.413
Si2 Si 0.587 0.587 0.587
Pb1 Pb 0.000 0.000 0.000
Se1 Se 0.247 0.748 0.748
Se2 Se 0.252 0.252 0.753
Se3 Se 0.252 0.753 0.252
Se4 Se 0.748 0.247 0.748
Se5 Se 0.748 0.748 0.247
Se6 Se 0.753 0.252 0.252
```

no.,final energy (eV per atom),raw formation energy (eV/atom)
1,-1.734,1.36
2,-4.029,-0.65